No. 1
TlInOs2: relaxed, PBE.

abc: 4.6740 4.6740 4.6740
angles: 60.00 60.00 60.00
Fractional coordinates of all 4 atoms:
1 Tl 0.0000 0.0000 0.0000
2 In 0.7500 0.7500 0.7500
3 Os 0.2500 0.2500 0.2500
4 Os 0.5000 0.5000 0.5000

Results
relative energy among the computed polymorphs	0.6944	eV per atom

No. 2
BaSmIn2Se4: relaxed, PBE.

abc: 7.5684 4.3626 7.9213
angles: 90.00 108.58 90.00
Fractional coordinates of all 8 atoms:
1 Ba 0.0000 0.0000 0.0000
2 Sm 0.0000 0.5000 0.5000
3 In 0.5000 0.0000 0.5000
4 In 0.5000 0.5000 0.0000
5 Se 0.2336 0.0000 0.7125
6 Se 0.2521 0.5000 0.2845
7 Se 0.7479 0.5000 0.7155
8 Se 0.7664 0.0000 0.2875

Results
uncorrected formation energy	-1.19	eV per atom

No. 3
Tb3Nd3Tm: relaxed, PBE.

abc: 9.6567 9.6567 5.7823
angles: 90.00 90.00 120.00
Fractional coordinates of all 14 atoms:
1 Tb 0.0951 0.4787 0.2500
2 Tb 0.3836 0.9049 0.2500
3 Tb 0.4787 0.3836 0.7500
4 Tb 0.5213 0.6164 0.2500
5 Tb 0.6164 0.0951 0.7500
6 Tb 0.9049 0.5213 0.7500
7 Nd 0.0487 0.2428 0.7500
8 Nd 0.1940 0.9513 0.7500
9 Nd 0.2428 0.1940 0.2500
10 Nd 0.7572 0.8060 0.7500
11 Nd 0.8060 0.0487 0.2500
12 Nd 0.9513 0.7572 0.2500
13 Tm 0.3333 0.6667 0.7500
14 Tm 0.6667 0.3333 0.2500

Results
relative energy among the computed polymorphs	0.0000	eV per atom

No. 4
Dy8YEr4: relaxed, PBE.

abc: 10.0065 10.0065 10.0065
angles: 42.35 42.35 42.35
Fractional coordinates of all 13 atoms:
1 Dy 0.1979 0.7512 0.7512
2 Dy 0.2157 0.2157 0.2157
3 Dy 0.2488 0.2488 0.8021
4 Dy 0.2488 0.8021 0.2488
5 Dy 0.7512 0.1979 0.7512
6 Dy 0.7512 0.7512 0.1979
7 Dy 0.7843 0.7843 0.7843
8 Dy 0.8021 0.2488 0.2488
9 Y 0.5000 0.5000 0.5000
10 Er 0.0000 0.0000 0.0000
11 Er 0.0000 0.5000 0.5000
12 Er 0.5000 0.0000 0.5000
13 Er 0.5000 0.5000 0.0000

No. 5
NdThSbAu: relaxed, PBE.

abc: 5.3672 5.3672 5.3672
angles: 60.00 60.00 60.00
Fractional coordinates of all 4 atoms:
1 Nd 0.0000 0.0000 0.0000
2 Th 0.5000 0.5000 0.5000
3 Sb 0.2500 0.2500 0.2500
4 Au 0.7500 0.7500 0.7500

Results
uncorrected formation energy	-0.68	eV per atom

no.,magnetization (μB/atom),calculated total energy (eV for the cell shown)
1,0.000,-23.12
2,0.000,-35.62
3,0.000,-65.02
4,0.000,-58.63
5,0.000,-22.31